1.
K2Tc2O7 | PBE-GGA | optimized geometry

Cell lengths 6.0791, 6.0791, 5.9876 Å; angles 96.05, 96.05, 116.10 degrees
With the nearest neighbours (Å) after each atom.
Atoms (fractional coordinates):
O: 0.9340 0.6348 0.7449  1 Tc 1.75
O: 0.5633 0.5633 0.3192  1 Tc 1.88
O: 0.0000 0.0000 0.5000  2 Tc 1.87
O: 0.4367 0.4367 0.6809  1 Tc 1.88
O: 0.0661 0.3653 0.2551  1 Tc 1.75
O: 0.3653 0.0661 0.2551  1 Tc 1.75
O: 0.6348 0.9340 0.7449  1 Tc 1.75
Tc: 0.2537 0.2537 0.3935  4 O 1.75-1.88
Tc: 0.7463 0.7463 0.6066  4 O 1.75-1.88
K: 0.6793 0.3206 0.0000  6 O 2.56-2.63
K: 0.3206 0.6793 0.0000  6 O 2.56-2.63

SG: No. 12
Final energy (eV per cell): -74.83
Crystal system: monoclinic



2.
K2Tc2O5 | PBE-GGA | optimized geometry

Cell lengths 8.1524, 3.8631, 3.8631 Å; angles 90.00, 90.00, 90.00 degrees
With the nearest neighbours (Å) after each atom.
Atoms (fractional coordinates):
Tc: 0.7433 0.5000 0.5000  5 O 1.94-1.98
Tc: 0.2567 0.5000 0.5000  5 O 1.94-1.98
O: 0.2370 0.0000 0.5000  2 Tc 1.94
O: 0.5000 0.5000 0.5000  2 Tc 1.98
O: 0.2370 0.5000 0.0000  2 Tc 1.94
O: 0.7630 0.0000 0.5000  2 Tc 1.94
O: 0.7630 0.5000 0.0000  2 Tc 1.94
K: 0.0000 0.0000 0.0000  8 O 2.73
K: 0.5000 0.0000 0.0000  12 O 2.73-2.89

SG: No. 123
E above lowest polymorph (meV/atom): 0.0
Final energy (eV per cell): -59.97
Crystal system: tetragonal



Look up the final energy of the second one. -59.97 eV per cell



What is the formula in the first record? K2Tc2O7



Which of these has the highest final energy? K2Tc2O5



The highest final energy belongs to which entry? K2Tc2O5